Density functional theory data (PBE) for a relaxed ReBiAsBr2 crystal.

The value obtained for the energy above the most stable polymorph in this dataset is 0.581 eV per atom. The total magnetization comes out at 4.7 Bohr magnetons per cell. The formation energy without anion corrections comes out at 1.2252 eV per atom. The calculation puts the density of states at the Fermi level at 2.2 states/eV per cell.

The space group is P4/mmm (No. 123) and the conventional cell measures 5.089, 5.089 and 6.010 Å, with angles of 90.00, 90.00 and 90.00 degrees. The asymmetric unit holds Re at (0.000, 0.000, 0.000), Bi at (0.500, 0.500, 0.000), As at (0.500, 0.500, 0.500) and Br at (0.000, 0.500, 0.500).

---

Density functional theory data (PBE) for a relaxed Ba2Mg2Pb5 crystal.

The total magnetization comes out at 0.0 Bohr magnetons per cell. For the formation energy, the calculation gives -27 kJ per mole of atoms. The calculation puts the density of states at the Fermi level at 4.6 states/eV per cell.

The space group is P4/mmm (No. 123) and the conventional cell measures 5.110, 5.110 and 11.425 Å, with angles of 90.00, 90.00 and 90.00 degrees. The asymmetric unit holds Ba at (0.000, 0.000, 0.000), Ba at (0.000, 0.000, 0.500), Mg at (0.500, 0.500, 0.127), Pb at (0.000, 0.500, 0.271) and Pb at (0.500, 0.500, 0.500).

---

Density functional theory data (PBE) for a relaxed La2SnCl8 crystal.

The total magnetization comes out at 0.0 Bohr magnetons per cell. The formation energy without anion corrections comes out at -1.9933 eV per atom. The calculation puts the density of states at the Fermi level at 0.0 states/eV per cell.

The space group is C2/m (No. 12) and the conventional cell measures 21.411, 4.171 and 7.903 Å, with angles of 90.00, 95.61 and 90.00 degrees. The asymmetric unit holds La at (0.160, 0.000, 0.337), Sn at (0.000, 0.500, 0.000), Cl at (0.021, 0.000, 0.245), Cl at (0.114, 0.500, 0.525), Cl at (0.135, 0.500, 0.068) and Cl at (0.241, 0.000, 0.669).